Record 1
A plane-wave DFT calculation with GGA-PBE was carried out for a relaxed structure of Dy3Tm8Pu.

Structure (POSCAR):
```
Dy3Tm8Pu
1.0
0.9956 -6.8505 -2.9764
4.2537 -1.9482 5.9068
-8.8331 1.9111 2.1850
Tm Dy Pu
8 3 1
Direct
0.8767 0.3660 0.2426
0.8767 0.8767 0.2426
0.3660 0.3660 0.2426
0.1233 0.1233 0.7574
0.3660 0.8767 0.2426
0.6340 0.1233 0.7574
0.6340 0.6340 0.7574
0.1233 0.6340 0.7574
0.5000 0.5000 0.0000
0.2500 0.7500 0.5000
0.7500 0.2500 0.5000
0.0000 0.0000 0.0000
```

Record 2
A plane-wave DFT calculation with GGA-PBE was carried out for a relaxed structure of Nb3Cu2N.

Structure (POSCAR):
```
Nb3Cu2N
1.0
-1.1273 -6.6772 1.5314
6.7426 -1.3560 -0.9486
1.2115 1.3333 6.7049
N Nb Cu
4 12 8
Direct
0.1250 0.6250 0.8750
0.8750 0.1250 0.6250
0.3750 0.3750 0.3750
0.6250 0.8750 0.1250
0.2932 0.5432 0.6250
0.5432 0.6250 0.2932
0.7068 0.0432 0.8750
0.1250 0.2068 0.4568
0.3750 0.7932 0.9568
0.7932 0.9568 0.3750
0.2068 0.4568 0.1250
0.6250 0.2932 0.5432
0.9568 0.3750 0.7932
0.4568 0.1250 0.2068
0.0432 0.8750 0.7068
0.8750 0.7068 0.0432
0.9285 0.5715 0.4285
0.4285 0.9285 0.5715
0.5715 0.4285 0.9285
0.1785 0.8215 0.3215
0.3215 0.1785 0.8215
0.6785 0.6785 0.6785
0.0715 0.0715 0.0715
0.8215 0.3215 0.1785
```

Properties
Raw formation energy: -0.4348 eV/atom

Record 3
A plane-wave DFT calculation with GGA-PBE was carried out for a relaxed structure of ThInGe.

Structure (POSCAR):
```
ThInGe
1.0
4.6910 0.0000 0.0000
0.0000 4.6910 0.0000
-2.3455 -2.3455 7.2241
In Ge Th
2 2 2
Direct
0.3621 0.3621 0.7242
0.6379 0.6379 0.2758
0.5000 0.0000 0.0000
0.0000 0.5000 0.0000
0.1363 0.1363 0.2727
0.8637 0.8637 0.7273
```

Record 4
A plane-wave DFT calculation with GGA-PBE was carried out for a relaxed structure of Ca2Dy2Ir3.

Structure (POSCAR):
```
Ca2Dy2Ir3
1.0
-3.8285 0.4290 2.8721
-0.5046 -1.8134 -4.4197
4.0429 -7.0725 2.4350
Ca Ir Dy
2 3 2
Direct
0.7465 0.8732 0.6193
0.2535 0.1268 0.3807
0.4854 0.7427 0.2286
0.5146 0.2573 0.7714
0.0000 0.0000 0.0000
0.7528 0.3764 0.1291
0.2472 0.6236 0.8709
```

Record 5
A plane-wave DFT calculation with GGA-PBE was carried out for a relaxed structure of Fe.

Structure (POSCAR):
```
Fe
1.0
-1.6678 0.3760 -1.7777
0.0813 -2.1662 1.1765
-2.5095 1.3382 2.6374
Fe
2
Direct
0.6667 0.3333 0.7500
0.3333 0.6667 0.2500
```

Properties
Excess energy over the best structure of this formula in the dataset: 88 meV/atom

Record 6
A plane-wave DFT calculation with GGA-PBE was carried out for a relaxed structure of AlZn3H.

Structure (POSCAR):
```
AlZn3H
1.0
-3.7658 2.3944 -2.0101
-2.1886 0.2279 4.3718
2.2324 4.2626 0.8953
Zn Al H
3 1 1
Direct
0.5000 0.0000 0.0000
0.0000 0.0000 0.5000
0.0000 0.5000 0.0000
0.0000 0.0000 0.0000
0.5000 0.5000 0.5000
```

Properties
Excess energy over the best structure of this formula in the dataset: 479 meV/atom

Record 7
A plane-wave DFT calculation with GGA-PBE was carried out for a relaxed structure of LaMg2Tc2.

Structure (POSCAR):
```
LaMg2Tc2
1.0
4.4004 0.0000 0.0000
0.0000 4.4004 0.0000
2.2002 2.2002 5.8118
La Tc Mg
1 2 2
Direct
0.0000 0.0000 0.0000
0.5946 0.5946 0.8108
0.4054 0.4054 0.1892
0.2500 0.7500 0.5000
0.7500 0.2500 0.5000
```

Properties
Excess energy over the best structure of this formula in the dataset: 0 meV/atom

Record 8
A plane-wave DFT calculation with GGA-PBE was carried out for a relaxed structure of Ho2HfSb3.

Structure (POSCAR):
```
Ho2HfSb3
1.0
-4.1537 0.1160 1.0018
0.4323 -3.6271 2.2197
3.7869 6.5341 5.8223
Sb Ho Hf
3 2 1
Direct
0.9340 0.9360 0.8740
0.5956 0.5968 0.1965
0.2731 0.2743 0.5515
0.1032 0.1044 0.2117
0.7654 0.7666 0.5362
0.4340 0.4360 0.8740
```

Properties
Raw formation energy: -0.8357 eV/atom

Record 9
A plane-wave DFT calculation with GGA-PBE was carried out for a relaxed structure of Sr2TaAg.

Structure (POSCAR):
```
Sr2TaAg
1.0
-5.0160 -0.0600 -0.4768
-0.0047 -3.6216 0.5056
-0.6253 -0.9111 6.6936
Sr Ta Ag
2 1 1
Direct
0.5000 0.2809 0.3137
0.0000 0.9659 0.9426
0.0000 0.6766 0.5224
0.5000 0.5765 0.7213
```

Properties
Excess energy over the best structure of this formula in the dataset: 140 meV/atom

Record 10
A plane-wave DFT calculation with GGA-PBE was carried out for a relaxed structure of MnFeP2.

Structure (POSCAR):
```
MnFeP2
1.0
-1.4252 1.0709 -1.9930
-2.0127 0.4757 1.6949
2.7555 6.4091 1.4732
Mn Fe P
1 1 2
Direct
0.5000 0.5000 0.7413
0.0000 0.0000 0.5063
0.5000 0.5000 0.3211
0.0000 0.0000 0.9312
```

Properties
Excess energy over the best structure of this formula in the dataset: 544 meV/atom

Record 11
A plane-wave DFT calculation with GGA-PBE was carried out for a relaxed structure of LiCoAsIr.

Structure (POSCAR):
```
LiCoAsIr
1.0
4.1040 0.0000 0.0000
2.0520 3.5542 0.0000
2.0520 1.1847 3.3509
Ir Li As Co
1 1 1 1
Direct
0.7500 0.7500 0.7500
0.0000 0.0000 0.0000
0.5000 0.5000 0.5000
0.2500 0.2500 0.2500
```

Record 12
A plane-wave DFT calculation with GGA-PBE was carried out for a relaxed structure of InGaRu2.

Structure (POSCAR):
```
InGaRu2
1.0
-6.5524 1.5555 -2.0702
-0.9146 -6.6599 -2.1091
-4.6985 -3.2265 0.4580
Ga In Ru
2 2 4
Direct
0.5000 0.5000 0.0000
0.2500 0.7500 0.5000
0.0000 0.0000 0.0000
0.7500 0.2500 0.5000
0.5906 0.1250 0.2500
0.1594 0.6250 0.2500
0.3750 0.4094 0.7500
0.8750 0.8406 0.7500
```

| no. | total moment (μB per atom) | DOS(E_F) (states/eV/cell) | VASP energy (eV per cell) |
| --- | --- | --- | --- |
| 1 | 0.51 | 20.1 | -54.9 |
| 2 | 0.00 | 14.5 | -197.3 |
| 3 | 0.00 | 4.4 | -31.8 |
| 4 | 0.00 | 2.8 | -43.7 |
| 5 | 0.00 | 2.5 | -16.7 |
| 6 | 0.00 | 0.8 | -7.1 |
| 7 | 0.00 | 7.6 | -27.5 |
| 8 | 0.00 | 2.5 | -36.5 |
| 9 | 0.00 | 4.6 | -15.4 |
| 10 | 0.00 | 3.1 | -28.6 |
| 11 | 0.08 | 1.7 | -23.4 |
| 12 | 0.48 | 5.5 | -45.2 |